(1)
Here is a relaxed Rb2HfRe crystal from Alexandria via LeMat-Bulk. Energies are from GGA-PBE.

Energy of formation from the pure elements in meV/atom: 2433.7
Theoretical density in Mg/m³: 6.68
SG: Fm-3m, No. 225
Spin magnetization in μB/cell: 1.0
V in Å³ per atom: 33.301

Cell: 5.7325 5.7325 5.7325 Å, 60.00 60.00 60.00°
Sites, in units of the cell vectors:
Re 0.5000 0.5000 0.5000
Hf 0.0000 0.0000 0.0000
Rb 0.2500 0.2500 0.2500
Rb 0.7500 0.7500 0.7500

(2)
Here is a relaxed Rb2HfRe crystal from Alexandria via LeMat-Bulk. Energies are from GGA-PBE.

Energy of formation from the pure elements in meV/atom: 1578.2
Theoretical density in Mg/m³: 4.24
SG: I-42d, No. 122
Spin magnetization in μB/cell: 0.5
V in Å³ per atom: 52.495

Cell: 13.3076 13.3076 9.7041 Å, 46.71 46.71 90.00°
Sites, in units of the cell vectors:
Re 0.0000 0.0000 0.0000
Re 0.7500 0.2500 0.5000
Hf 0.5000 0.5000 0.0000
Hf 0.2500 0.7500 0.5000
Rb 0.7904 0.1250 0.2500
Rb 0.9596 0.6250 0.2500
Rb 0.3750 0.2096 0.7500
Rb 0.8750 0.0404 0.7500

no.,excess energy over the best structure of this formula in the dataset (meV/atom)
1,855
2,0